SrMgVH2 | GGA-PBE | optimized geometry

space-group type	P4/mmm
E_tot	-2.782	eV per atom

Cell: 4.139 4.139 7.749 Å, 90.00 90.00 90.00°
Positions (direct):
1 Sr 0.000 0.000 0.000
2 Mg 0.000 0.000 0.500
3 V 0.500 0.500 0.000
4 H 0.000 0.500 0.500
5 H 0.500 0.000 0.500

CuNi2W | GGA-PBE | optimized geometry

energy relative to the elements	0.45	eV per formula unit
space-group type	C2/m

Cell: 8.463 2.618 4.583 Å, 90.00 99.59 90.00°
Positions (direct):
1 Cu 0.000 0.000 0.000
2 Cu 0.500 0.500 0.000
3 Ni 0.248 0.500 0.252
4 Ni 0.252 0.000 0.748
5 Ni 0.748 0.000 0.252
6 Ni 0.752 0.500 0.748
7 W 0.000 0.500 0.500
8 W 0.500 0.000 0.500

MgZr2Ir | GGA-PBE | optimized geometry

energy relative to the elements	-1.42	eV per formula unit
space-group type	P4/mmm

Cell: 4.585 4.585 3.662 Å, 90.00 90.00 90.00°
Positions (direct):
1 Mg 0.000 0.000 0.000
2 Zr 0.000 0.500 0.500
3 Zr 0.500 0.000 0.500
4 Ir 0.500 0.500 0.000

BeHg4Os | GGA-PBE | optimized geometry

energy relative to the elements	7.71	eV per formula unit
space-group type	F-43m

Cell: 5.587 5.587 5.587 Å, 60.00 60.00 60.00°
Positions (direct):
1 Be 0.000 0.000 0.000
2 Hg 0.126 0.625 0.625
3 Hg 0.625 0.126 0.625
4 Hg 0.625 0.625 0.126
5 Hg 0.625 0.625 0.625
6 Os 0.250 0.250 0.250

Nd2NiCl | GGA-PBE | optimized geometry

raw formation energy	-87.2	kJ per mole of atoms
space-group type	R-3m

Cell: 4.046 4.046 22.353 Å, 90.00 90.00 120.00°
Positions (direct):
1 Nd 0.000 0.000 0.234
2 Nd 0.000 0.000 0.766
3 Nd 0.333 0.667 0.432
4 Nd 0.333 0.667 0.901
5 Nd 0.667 0.333 0.099
6 Nd 0.667 0.333 0.568
7 Ni 0.000 0.000 0.500
8 Ni 0.333 0.667 0.167
9 Ni 0.667 0.333 0.833
10 Cl 0.000 0.000 0.000
11 Cl 0.333 0.667 0.667
12 Cl 0.667 0.333 0.333

Np3Tl3HgTe8 | GGA-PBE | optimized geometry

raw formation energy	-41.1	kJ per mole of atoms
space-group type	C2/m

Cell: 8.827 8.827 9.643 Å, 117.21 117.21 60.05°
Positions (direct):
1 Np 0.000 0.000 0.000
2 Np 0.000 0.500 0.000
3 Np 0.500 0.000 0.000
4 Tl 0.000 0.500 0.500
5 Tl 0.500 0.000 0.500
6 Tl 0.500 0.500 0.500
7 Hg 0.500 0.500 0.000
8 Te 0.227 0.743 0.213
9 Te 0.238 0.238 0.215
10 Te 0.257 0.773 0.787
11 Te 0.258 0.258 0.787
12 Te 0.742 0.742 0.213
13 Te 0.743 0.227 0.213
14 Te 0.762 0.762 0.785
15 Te 0.773 0.257 0.787

MgMoIr2 | GGA-PBE | optimized geometry

energy relative to the elements	-0.27	eV per formula unit
space-group type	P4/mmm

Cell: 4.129 4.129 3.585 Å, 90.00 90.00 90.00°
Positions (direct):
1 Mg 0.000 0.000 0.000
2 Mo 0.500 0.500 0.000
3 Ir 0.000 0.500 0.500
4 Ir 0.500 0.000 0.500

PmSnAuS | GGA-PBE | optimized geometry

raw formation energy	-100.3	kJ per mole of atoms
space-group type	R-3m

Cell: 11.759 11.759 11.759 Å, 22.58 22.58 22.58°
Positions (direct):
1 Pm 0.114 0.114 0.114
2 Pm 0.886 0.886 0.886
3 Sn 0.299 0.299 0.299
4 Sn 0.701 0.701 0.701
5 Au 0.385 0.385 0.385
6 Au 0.615 0.615 0.615
7 S 0.197 0.197 0.197
8 S 0.803 0.803 0.803

Dy3Zn2Ni3 | GGA-PBE | optimized geometry

energy relative to the elements	-3.13	eV per formula unit
space-group type	Pnma

Cell: 7.426 14.486 5.611 Å, 90.00 90.00 90.00°
Positions (direct):
1 Dy 0.042 0.104 0.149
2 Dy 0.042 0.396 0.149
3 Dy 0.183 0.250 0.611
4 Dy 0.317 0.750 0.111
5 Dy 0.458 0.604 0.649
6 Dy 0.458 0.896 0.649
7 Dy 0.542 0.104 0.351
8 Dy 0.542 0.396 0.351
9 Dy 0.683 0.250 0.889
10 Dy 0.817 0.750 0.389
11 Dy 0.958 0.604 0.851
12 Dy 0.958 0.896 0.851
13 Zn 0.109 0.603 0.360
14 Zn 0.109 0.897 0.360
15 Zn 0.391 0.103 0.860
16 Zn 0.391 0.397 0.860
17 Zn 0.609 0.603 0.140
18 Zn 0.609 0.897 0.140
19 Zn 0.891 0.103 0.640
20 Zn 0.891 0.397 0.640
21 Ni 0.174 0.750 0.601
22 Ni 0.190 0.038 0.577
23 Ni 0.190 0.462 0.577
24 Ni 0.310 0.538 0.077
25 Ni 0.310 0.962 0.077
26 Ni 0.326 0.250 0.101
27 Ni 0.674 0.750 0.899
28 Ni 0.690 0.038 0.923
29 Ni 0.690 0.462 0.923
30 Ni 0.810 0.538 0.423
31 Ni 0.810 0.962 0.423
32 Ni 0.826 0.250 0.399

Ce2GeP | GGA-PBE | optimized geometry

energy relative to the elements	-4.32	eV per formula unit
space-group type	Cmcm

Cell: 4.242 22.864 4.087 Å, 90.00 90.00 90.00°
Positions (direct):
1 Ce 0.000 0.067 0.250
2 Ce 0.000 0.313 0.250
3 Ce 0.000 0.687 0.750
4 Ce 0.000 0.933 0.750
5 Ce 0.500 0.187 0.750
6 Ce 0.500 0.433 0.750
7 Ce 0.500 0.567 0.250
8 Ce 0.500 0.813 0.250
9 Ge 0.000 0.459 0.250
10 Ge 0.000 0.541 0.750
11 Ge 0.500 0.041 0.750
12 Ge 0.500 0.959 0.250
13 P 0.000 0.189 0.250
14 P 0.000 0.811 0.750
15 P 0.500 0.311 0.750
16 P 0.500 0.689 0.250

no.,size of the total moment (μB/f.u.)
1,4.9
2,0.0
3,0.0
4,0.0
5,0.0
6,10.0
7,0.0
8,0.0
9,0.0
10,1.5